{
  "formula": "TbScIn2",
  "functional": "PBE",
  "state": "relaxed",
  "lattice_angstrom": [[3.573, 0.000, 0.000], [-1.787, 3.095, 0.000], [0.000, 0.000, 28.785]],
  "species": ["Tb", "Tb", "Tb", "Sc", "Sc", "Sc", "In", "In", "In", "In", "In", "In"],
  "frac_coords": [[0.000, 0.000, 0.000], [0.333, 0.667, 0.667], [0.667, 0.333, 0.333], [0.000, 0.000, 0.500], [0.333, 0.667, 0.167], [0.667, 0.333, 0.833], [0.000, 0.000, 0.246], [0.000, 0.000, 0.754], [0.333, 0.667, 0.421], [0.333, 0.667, 0.913], [0.667, 0.333, 0.087], [0.667, 0.333, 0.579]],
  "e_form_mev_per_atom": -291
}